## Pm2Dy3Cd2 (GGA-PBE)

Data for a relaxed structure of Pm2Dy3Cd2.

Geometry as POSCAR:
```
Pm2Dy3Cd2
1.0
-2.901 1.381 -1.560
0.720 -1.811 -2.942
-7.584 -13.357 6.365
Pm Dy Cd
2 3 2
Cartesian
-5.012 -8.436 1.850
-4.753 -5.350 0.013
-7.320 -11.673 3.277
-2.445 -2.114 -1.414
0.000 0.000 0.000
-2.476 -3.472 1.531
-8.009 -8.504 3.274
```

Summary:
- space-group type = Cmmm
- crystal system = orthorhombic
- formation enthalpy at 0 K (eV per atom) = -0.1046
- offset from the most stable computed form (meV per atom) = 43.6